Below is crystalline Sr3InGa3 at its relaxed geometry, with properties calculated at the GGA-PBE level.

Calculated values
V, Å³/cell: 416.4
N(E_F), states/eV per cell: 8.9
Calculated density, g/cm³: 4.68
Calculated total energy, eV per atom: -2.84
Space-group type: No. 12

```
data_Sr3InGa3
_cell_length_a 4.826
_cell_length_b 6.363
_cell_length_c 14.854
_cell_angle_alpha 85.24
_cell_angle_beta 80.65
_cell_angle_gamma 67.71
_symmetry_space_group_name_H-M 'P 1'
_symmetry_Int_Tables_number 1
_symmetry_space_group_name_Hall 'P 1'
loop_
_atom_site_label
_atom_site_type_symbol
_atom_site_fract_x
_atom_site_fract_y
_atom_site_fract_z
Ga1 Ga 0.903 0.118 0.075
Ga2 Ga 0.961 0.854 0.224
Ga3 Ga 0.097 0.882 0.925
Ga4 Ga 0.876 0.712 0.537
Ga5 Ga 0.039 0.146 0.776
Ga6 Ga 0.124 0.288 0.463
Sr1 Sr 0.608 0.708 0.076
Sr2 Sr 0.257 0.262 0.224
Sr3 Sr 0.743 0.738 0.776
Sr4 Sr 0.470 0.681 0.378
Sr5 Sr 0.530 0.319 0.622
Sr6 Sr 0.392 0.292 0.924
In1 In 0.758 0.087 0.396
In2 In 0.242 0.913 0.604
```

***

Below is crystalline YScZn2 at its relaxed geometry, with properties calculated at the GGA-PBE level.

Calculated values
V, Å³/cell: 84.1
N(E_F), states/eV per cell: 4.4
Calculated density, g/cm³: 5.23
Calculated total energy, eV per atom: -4.07
Space-group type: No. 44

```
data_YScZn2
_cell_length_a 5.873
_cell_length_b 5.873
_cell_length_c 4.812
_cell_angle_alpha 65.81
_cell_angle_beta 65.81
_cell_angle_gamma 34.10
_symmetry_space_group_name_H-M 'P 1'
_symmetry_Int_Tables_number 1
_symmetry_space_group_name_Hall 'P 1'
loop_
_atom_site_label
_atom_site_type_symbol
_atom_site_fract_x
_atom_site_fract_y
_atom_site_fract_z
Zn1 Zn 0.719 0.719 0.781
Zn2 Zn 0.029 0.029 0.971
Y1 Y 0.266 0.266 0.234
Sc1 Sc 0.487 0.487 0.513
```

***

Below is crystalline KLiYP2 at its relaxed geometry, with properties calculated at the GGA-PBE level.

Calculated values
V, Å³/cell: 163.4
N(E_F), states/eV per cell: 2.8
Calculated density, g/cm³: 2.00
Calculated total energy, eV per atom: -4.01
Space-group type: No. 123

```
data_KLiYP2
_cell_length_a 5.328
_cell_length_b 5.754
_cell_length_c 5.328
_cell_angle_alpha 90.00
_cell_angle_beta 90.00
_cell_angle_gamma 90.00
_symmetry_space_group_name_H-M 'P 1'
_symmetry_Int_Tables_number 1
_symmetry_space_group_name_Hall 'P 1'
loop_
_atom_site_label
_atom_site_type_symbol
_atom_site_fract_x
_atom_site_fract_y
_atom_site_fract_z
Y1 Y 0.000 0.000 0.000
K1 K 0.500 0.500 0.500
Li1 Li 0.000 0.500 0.000
P1 P 0.000 0.000 0.500
P2 P 0.500 0.000 0.000
```

***

Below is crystalline Ti2NbTlN at its relaxed geometry, with properties calculated at the GGA-PBE level.

Calculated values
V, Å³/cell: 77.4
Formation energy from raw total energies, eV per atom: -0.58
N(E_F), states/eV per cell: 5.3
Calculated density, g/cm³: 8.74
Space-group type: No. 123

```
data_Ti2NbTlN
_cell_length_a 4.183
_cell_length_b 4.183
_cell_length_c 4.421
_cell_angle_alpha 90.00
_cell_angle_beta 90.00
_cell_angle_gamma 90.00
_symmetry_space_group_name_H-M 'P 1'
_symmetry_Int_Tables_number 1
_symmetry_space_group_name_Hall 'P 1'
loop_
_atom_site_label
_atom_site_type_symbol
_atom_site_fract_x
_atom_site_fract_y
_atom_site_fract_z
N1 N 0.000 0.000 0.000
Ti1 Ti 0.000 0.500 0.000
Ti2 Ti 0.500 0.000 0.000
Nb1 Nb 0.000 0.000 0.500
Tl1 Tl 0.500 0.500 0.500
```

***

The highest V belongs to which entry?
Sr3InGa3